Compound: Li2MgZr
Source: Alexandria via LeMat-Bulk
Functional: PBE
Structure: optimized geometry

Geometry as CIF:
```
data_Li2MgZr
_space_group_name_H-M_alt 'P 1'
_space_group_IT_number 1
_space_group_name_Hall 'P 1'
_cell_length_a 2.821
_cell_length_b 4.597
_cell_length_c 6.224
_cell_angle_alpha 90.00
_cell_angle_beta 90.00
_cell_angle_gamma 90.00
loop_
_atom_site_label
_atom_site_fract_x
_atom_site_fract_y
_atom_site_fract_z
Li1 0.000 0.000 0.242
Li2 0.000 0.000 0.758
Mg1 0.500 0.500 0.000
Zr1 0.500 0.500 0.500
```

DFT formation energy	0.1827	eV/atom
magnetization	0.0	Bohr magnetons per cell